Compound: ZnNiPdPt
Source: Alexandria
Functional: PBE-GGA
Structure: relaxed

abc: 4.5121 4.5121 4.5121
angles: 127.66 127.66 77.18
Sites, in units of the cell vectors:
Zn (0.0000, 0.0000, 0.0000)
Ni (0.5000, 0.5000, 0.0000)
Pd (0.2500, 0.7500, 0.5000)
Pt (0.7500, 0.2500, 0.5000)

Its calculated volume is 56 Å³/cell. The value obtained for the excess energy over the best structure of this formula in the dataset is 0.00 kcal/mol of atoms. As for the density: 12.7 g/cm3. As for the space group: I-4m2 (119).



Compound: ZrTc2Br
Source: Alexandria
Functional: PBE-GGA
Structure: relaxed

abc: 3.1033 3.1033 7.5294
angles: 90.00 90.00 90.00
Sites, in units of the cell vectors:
Zr (0.0000, 0.0000, 0.0000)
Tc (0.0000, 0.0000, 0.5557)
Tc (0.5000, 0.5000, 0.7369)
Br (0.5000, 0.5000, 0.2556)

The uncorrected formation energy is 0.016 eV/atom. Its calculated volume is 73 Å³/cell. The value obtained for the excess energy over the best structure of this formula in the dataset is 1.13 kcal/mol of atoms. As for the density: 8.4 g/cm3. As for the space group: P4mm (99).



Compound: Zr2SiAs
Source: Alexandria
Functional: PBE-GGA
Structure: relaxed

abc: 4.1061 5.2467 5.2467
angles: 41.18 90.00 90.00
Sites, in units of the cell vectors:
Zr (0.0000, 0.0000, 0.0000)
Zr (0.5000, 0.2799, 0.2799)
Si (0.0000, 0.7259, 0.7259)
As (0.5000, 0.5569, 0.5569)

The uncorrected formation energy is -0.840 eV/atom. Its calculated volume is 74 Å³/cell. The value obtained for the excess energy over the best structure of this formula in the dataset is 1.70 kcal/mol of atoms. As for the density: 6.4 g/cm3. As for the space group: Amm2 (38).



Compound: AsRh7
Source: Alexandria
Functional: PBE-GGA
Structure: relaxed

abc: 5.4453 5.4453 5.4453
angles: 60.00 60.00 60.00
Sites, in units of the cell vectors:
As (0.0000, 0.0000, 0.0000)
Rh (0.0000, 0.0000, 0.5000)
Rh (0.0000, 0.5000, 0.0000)
Rh (0.0000, 0.5000, 0.5000)
Rh (0.5000, 0.0000, 0.0000)
Rh (0.5000, 0.0000, 0.5000)
Rh (0.5000, 0.5000, 0.0000)
Rh (0.5000, 0.5000, 0.5000)

Its calculated volume is 114 Å³/cell. For the energy, the calculation gives -56.832 eV per formula unit. As for the density: 11.6 g/cm3. As for the space group: Fm-3m (225).



Compound: SrTaMn2Zn
Source: Alexandria
Functional: PBE-GGA
Structure: relaxed

abc: 4.4486 4.4486 4.9984
angles: 90.00 90.00 90.00
Sites, in units of the cell vectors:
Sr (0.0000, 0.0000, 0.0000)
Ta (0.0000, 0.0000, 0.5000)
Mn (0.0000, 0.5000, 0.0000)
Mn (0.5000, 0.0000, 0.0000)
Zn (0.5000, 0.5000, 0.5000)

Its calculated volume is 99 Å³/cell. For the energy, the calculation gives -19.051 eV per formula unit. As for the density: 7.5 g/cm3. As for the space group: P4/mmm (123).



Compound: Sc2NiC
Source: Alexandria
Functional: PBE-GGA
Structure: relaxed

abc: 7.9225 7.9225 7.9225
angles: 24.81 24.81 24.81
Sites, in units of the cell vectors:
Sc (0.0929, 0.0929, 0.0929)
Sc (0.9071, 0.9071, 0.9071)
Ni (0.5000, 0.5000, 0.5000)
C (0.0000, 0.0000, 0.0000)

Its calculated volume is 77 Å³/cell. For the energy, the calculation gives -24.322 eV per formula unit. As for the density: 3.5 g/cm3. As for the space group: R-3m (166).



Compound: Li2As
Source: Alexandria
Functional: PBE-GGA
Structure: relaxed

abc: 4.7151 4.7151 5.4770
angles: 90.00 90.00 126.33
Sites, in units of the cell vectors:
Li (0.0000, 0.0000, 0.0000)
Li (0.0000, 0.0000, 0.5000)
Li (0.2849, 0.7151, 0.7500)
Li (0.7151, 0.2849, 0.2500)
As (0.4090, 0.5910, 0.2500)
As (0.5910, 0.4090, 0.7500)

Its calculated volume is 98 Å³/cell. The value obtained for the excess energy over the best structure of this formula in the dataset is 1.55 kcal/mol of atoms. As for the density: 3.0 g/cm3. As for the space group: Cmcm (63).



Compound: PmMo6Se8
Source: Alexandria
Functional: PBE-GGA
Structure: relaxed

abc: 6.8039 6.8039 6.8039
angles: 88.89 88.89 88.89
Sites, in units of the cell vectors:
Pm (0.0000, 0.0000, 0.0000)
Mo (0.2351, 0.4238, 0.5601)
Mo (0.4238, 0.5601, 0.2351)
Mo (0.4399, 0.7649, 0.5762)
Mo (0.5601, 0.2351, 0.4238)
Mo (0.5762, 0.4399, 0.7649)
Mo (0.7649, 0.5762, 0.4399)
Se (0.1222, 0.7549, 0.3731)
Se (0.2401, 0.2401, 0.2401)
Se (0.2451, 0.6269, 0.8778)
Se (0.3731, 0.1222, 0.7549)
Se (0.6269, 0.8778, 0.2451)
Se (0.7549, 0.3731, 0.1222)
Se (0.7599, 0.7599, 0.7599)
Se (0.8778, 0.2451, 0.6269)

The uncorrected formation energy is -0.724 eV/atom. Its calculated volume is 315 Å³/cell. As for the density: 7.1 g/cm3. As for the space group: R-3 (148).



Compound: Li2PuHg
Source: Alexandria
Functional: PBE-GGA
Structure: relaxed

abc: 10.8342 10.8342 10.8342
angles: 16.82 16.82 16.82
Sites, in units of the cell vectors:
Li (0.0970, 0.0970, 0.0970)
Li (0.9030, 0.9030, 0.9030)
Pu (0.0000, 0.0000, 0.0000)
Hg (0.5000, 0.5000, 0.5000)

Its calculated volume is 93 Å³/cell. For the energy, the calculation gives -17.974 eV per formula unit. As for the density: 8.2 g/cm3. As for the space group: R-3m (166).



Compound: CrMo2
Source: Alexandria
Functional: PBE-GGA
Structure: relaxed

abc: 2.8456 2.8456 12.9881
angles: 90.00 90.00 120.00
Sites, in units of the cell vectors:
Cr (0.3333, 0.6667, 0.2500)
Cr (0.6667, 0.3333, 0.7500)
Mo (0.0000, 0.0000, 0.0950)
Mo (0.0000, 0.0000, 0.4050)
Mo (0.0000, 0.0000, 0.5950)
Mo (0.0000, 0.0000, 0.9050)

Its calculated volume is 91 Å³/cell. The value obtained for the excess energy over the best structure of this formula in the dataset is 13.83 kcal/mol of atoms. As for the density: 8.9 g/cm3. As for the space group: P6_3/mmc (194).



Compound: Li2TbEr2Ge2
Source: Alexandria
Functional: PBE-GGA
Structure: relaxed

abc: 9.2562 9.2562 9.2562
angles: 27.77 27.77 27.77
Sites, in units of the cell vectors:
Li (0.1001, 0.1001, 0.1001)
Li (0.8999, 0.8999, 0.8999)
Tb (0.5000, 0.5000, 0.5000)
Er (0.3733, 0.3733, 0.3733)
Er (0.6267, 0.6267, 0.6267)
Ge (0.2366, 0.2366, 0.2366)
Ge (0.7634, 0.7634, 0.7634)

Its calculated volume is 152 Å³/cell. For the energy, the calculation gives -30.137 eV per formula unit. As for the density: 7.1 g/cm3. As for the space group: R-3m (166).



Compound: Pm8SmY2
Source: Alexandria
Functional: PBE-GGA
Structure: relaxed

abc: 9.6099 9.6099 8.1312
angles: 104.73 104.73 31.04
Sites, in units of the cell vectors:
Pm (0.0458, 0.0458, 0.2274)
Pm (0.1368, 0.1368, 0.6831)
Pm (0.3180, 0.3180, 0.5904)
Pm (0.4088, 0.4088, 0.0456)
Pm (0.5912, 0.5912, 0.9544)
Pm (0.6819, 0.6819, 0.4096)
Pm (0.8632, 0.8632, 0.3169)
Pm (0.9542, 0.9542, 0.7726)
Sm (0.5000, 0.5000, 0.5000)
Y (0.2271, 0.2271, 0.1355)
Y (0.7729, 0.7729, 0.8645)

Its calculated volume is 374 Å³/cell. The value obtained for the excess energy over the best structure of this formula in the dataset is 0.00 kcal/mol of atoms. As for the density: 6.6 g/cm3. As for the space group: C2/m (12).



Please write out number 1 again, unchanged.
Compound: ZnNiPdPt
Source: Alexandria
Functional: PBE-GGA
Structure: relaxed

abc: 4.5121 4.5121 4.5121
angles: 127.66 127.66 77.18
Sites, in units of the cell vectors:
Zn (0.0000, 0.0000, 0.0000)
Ni (0.5000, 0.5000, 0.0000)
Pd (0.2500, 0.7500, 0.5000)
Pt (0.7500, 0.2500, 0.5000)

Its calculated volume is 56 Å³/cell. The value obtained for the excess energy over the best structure of this formula in the dataset is 0.00 kcal/mol of atoms. As for the density: 12.7 g/cm3. As for the space group: I-4m2 (119).



What did the eleventh record say?
Compound: Li2TbEr2Ge2
Source: Alexandria
Functional: PBE-GGA
Structure: relaxed

abc: 9.2562 9.2562 9.2562
angles: 27.77 27.77 27.77
Sites, in units of the cell vectors:
Li (0.1001, 0.1001, 0.1001)
Li (0.8999, 0.8999, 0.8999)
Tb (0.5000, 0.5000, 0.5000)
Er (0.3733, 0.3733, 0.3733)
Er (0.6267, 0.6267, 0.6267)
Ge (0.2366, 0.2366, 0.2366)
Ge (0.7634, 0.7634, 0.7634)

Its calculated volume is 152 Å³/cell. For the energy, the calculation gives -30.137 eV per formula unit. As for the density: 7.1 g/cm3. As for the space group: R-3m (166).